A relaxed structure of CeDy2Pb. Source: Alexandria, functional PBE.

```
CeDy2Pb
1.0
4.6768 0.0000 0.0000
0.0000 4.9317 0.0000
0.0000 0.0000 4.9317
Pb Ce Dy
1 1 2
Direct
0.5000 0.0000 0.0000
0.5000 0.5000 0.5000
0.0000 0.0000 0.5000
0.0000 0.5000 0.0000
```

D(E_F): 7.7 states/eV per cell
formation enthalpy at 0 K: -256 meV/atom
electronic total energy: -4.968 eV per atom